Entry 1:
First-principles (PBE) data for an optimized crystal structure of Y2BeCdSb, as listed in the Alexandria database.

Computed properties:
DOS at the Fermi energy in states/eV per cell: 2.76
Distance to the lowest polymorph of the same formula in meV per atom: 0
Calculated volume in Å³/atom: 27.78
ΔE_f (raw) in eV per atom: 0.148

Lattice parameters (Å, degrees): 5.621 4.396 5.621 90.00 90.00 90.00
Positions (direct):
Be (0.000, 0.500, 0.000)
Y (0.500, 0.000, 0.000)
Y (0.000, 0.000, 0.500)
Cd (0.000, 0.000, 0.000)
Sb (0.500, 0.500, 0.500)


Entry 2:
First-principles (PBE) data for an optimized crystal structure of ScBe2Cd, as listed in the Alexandria database.

Computed properties:
DOS at the Fermi energy in states/eV per cell: 1.69
Distance to the lowest polymorph of the same formula in meV per atom: 171
Calculated volume in Å³/atom: 16.48
ΔH_f (0 K) in eV per formula unit: 0.793

Lattice parameters (Å, degrees): 4.118 3.069 5.215 89.97 90.00 90.00
Positions (direct):
Cd (0.500, 0.250, 0.250)
Be (0.000, 0.251, 0.538)
Be (0.000, 0.249, 0.962)
Sc (0.500, 0.750, 0.750)